# Hf2MoClF

Crystalline Hf2MoClF at its relaxed geometry (PBE+U, Alexandria via LeMat-Bulk).

## Properties
- DFT total energy (eV/atom) = -5.87

a = 4.767 Å, b = 4.707 Å, c = 4.767 Å
α = 90.00°, β = 90.00°, γ = 90.00°
Fractional coordinates of all 5 atoms:
Mo  0.500  0.500  0.500
F  0.000  0.500  0.000
Hf  0.000  0.000  0.500
Cl  0.000  0.000  0.000
Hf  0.500  0.000  0.000